{
  "formula": "DyThOs",
  "functional": "PBE",
  "state": "relaxed",
  "lattice_angstrom": [[5.4696, 0.0000, 0.0000], [0.0000, 4.4554, 0.0000], [-1.9949, 0.0000, 6.9721]],
  "species": ["Dy", "Dy", "Th", "Th", "Os", "Os"],
  "fractional_positions": [[0.2468, 0.2500, 0.0629], [0.7532, 0.7500, 0.9371], [0.2689, 0.2500, 0.5642], [0.7311, 0.7500, 0.4358], [0.1867, 0.7500, 0.2953], [0.8133, 0.2500, 0.7047]],
  "volume_a3_per_cell": 169.91,
  "magmom_total_mub_per_atom": 0.000,
  "delta_e_f_ev_per_fu": -0.7,
  "polymorph_energy_ev_per_atom": 0.0278
}